{"formula": "MoH2Pt", "functional": "PBE", "state": "optimized geometry", "lattice": [[-2.113, 2.113, 4.304], [2.113, -2.113, 4.304], [2.113, 2.113, -4.304]], "species": ["Mo", "Mo", "H", "H", "H", "H", "Pt", "Pt"], "frac_coords": [[0.000, 0.000, 0.000], [0.750, 0.250, 0.500], [0.132, 0.625, 0.007], [0.375, 0.382, 0.507], [0.618, 0.125, 0.993], [0.875, 0.868, 0.493], [0.250, 0.750, 0.500], [0.500, 0.500, 0.000]], "dos_at_fermi_per_ev_atom": 0.278, "vol_a3_per_cell": 76.8, "magmom_total_mub_per_cell": 0.00, "final_energy_ev_per_atom": -5.7521, "density_g_cm3": 12.7, "relative_energy_kj_per_mol_atoms": 0.0}

---

{"formula": "Hf2NbO", "functional": "PBE", "state": "optimized geometry", "lattice": [[1.508, 0.870, 8.629], [-1.508, 0.870, 8.629], [0.000, -1.741, 8.629]], "species": ["Hf", "Hf", "Nb", "O"], "frac_coords": [[0.108, 0.108, 0.108], [0.892, 0.892, 0.892], [0.000, 0.000, 0.000], [0.500, 0.500, 0.500]], "dos_at_fermi_per_ev_atom": 1.574, "raw_formation_energy_ev_per_atom": -0.783, "vol_a3_per_cell": 67.9, "magmom_total_mub_per_cell": 0.00, "final_energy_ev_per_atom": -9.5168, "density_g_cm3": 11.4}

---

{"formula": "K3Sb4Pt7", "functional": "PBE", "state": "optimized geometry", "lattice": [[8.616, -2.245, 0.000], [8.616, 2.245, 0.000], [-7.522, 0.000, 8.867]], "species": ["K", "K", "K", "Sb", "Sb", "Sb", "Sb", "Pt", "Pt", "Pt", "Pt", "Pt", "Pt", "Pt"], "frac_coords": [[0.000, 0.000, 0.000], [0.277, 0.277, 0.284], [0.723, 0.723, 0.716], [0.098, 0.098, 0.386], [0.335, 0.335, 0.027], [0.665, 0.665, 0.973], [0.902, 0.902, 0.614], [0.000, 0.000, 0.500], [0.129, 0.129, 0.826], [0.308, 0.308, 0.584], [0.490, 0.490, 0.349], [0.510, 0.510, 0.651], [0.692, 0.692, 0.416], [0.871, 0.871, 0.174]], "dos_at_fermi_per_ev_atom": 0.452, "raw_formation_energy_ev_per_atom": -0.360, "vol_a3_per_cell": 343.1, "magmom_total_mub_per_cell": 0.00, "final_energy_ev_per_atom": -4.7931, "density_g_cm3": 9.5}

---

{"formula": "MgTlPb2", "functional": "PBE", "state": "optimized geometry", "lattice": [[1.708, 0.986, 11.457], [-1.708, 0.986, 11.457], [0.000, -1.972, 11.457]], "species": ["Mg", "Tl", "Pb", "Pb"], "frac_coords": [[0.000, 0.000, 0.000], [0.260, 0.260, 0.260], [0.507, 0.507, 0.507], [0.745, 0.745, 0.745]], "dos_at_fermi_per_ev_atom": 0.294, "vol_a3_per_cell": 115.7, "magmom_total_mub_per_cell": 0.00, "final_energy_ev_per_atom": -2.8491, "density_g_cm3": 9.2, "formation_energy_kj_per_mol_fu": -2}

---

{"formula": "Mg2ReRh", "functional": "PBE", "state": "optimized geometry", "lattice": [[-1.445, 2.387, 4.585], [1.445, -2.387, 4.585], [1.445, 2.387, -4.585]], "species": ["Mg", "Mg", "Re", "Rh"], "frac_coords": [[0.237, 0.237, 0.000], [0.763, 0.763, 0.000], [0.500, 0.000, 0.500], [0.000, 0.500, 0.500]], "dos_at_fermi_per_ev_atom": 0.994, "vol_a3_per_cell": 63.3, "magmom_total_mub_per_cell": 0.00, "final_energy_ev_per_atom": -5.6040, "density_g_cm3": 8.9, "relative_energy_kj_per_mol_atoms": 20.2, "formation_energy_kj_per_mol_fu": 55}

---

{"formula": "CrTeW", "functional": "PBE", "state": "optimized geometry", "lattice": [[0.000, 3.076, 3.076], [3.076, 0.000, 3.076], [3.076, 3.076, 0.000]], "species": ["Cr", "Te", "W"], "frac_coords": [[0.000, 0.000, 0.000], [0.500, 0.500, 0.500], [0.250, 0.250, 0.250]], "dos_at_fermi_per_ev_atom": 0.701, "raw_formation_energy_ev_per_atom": 0.790, "vol_a3_per_cell": 58.2, "magmom_total_mub_per_cell": 0.11, "final_energy_ev_per_atom": -7.7824, "density_g_cm3": 10.4, "relative_energy_kj_per_mol_atoms": 35.8}

---

{"formula": "TaAu2Br", "functional": "PBE", "state": "optimized geometry", "lattice": [[3.033, 0.000, 0.000], [0.000, 3.177, 0.000], [0.000, 0.000, 8.497]], "species": ["Ta", "Au", "Au", "Br"], "frac_coords": [[0.000, 0.000, 0.000], [0.500, 0.500, 0.217], [0.500, 0.500, 0.783], [0.500, 0.000, 0.500]], "dos_at_fermi_per_ev_atom": 0.537, "raw_formation_energy_ev_per_atom": 0.103, "vol_a3_per_cell": 81.9, "magmom_total_mub_per_cell": 0.00, "final_energy_ev_per_atom": -4.9166, "density_g_cm3": 13.3, "relative_energy_kj_per_mol_atoms": 9.8}

---

{"formula": "Y2Er6In", "functional": "PBE", "state": "optimized geometry", "lattice": [[10.545, 0.000, 0.000], [0.000, 10.545, 0.000], [0.000, 0.000, 4.847]], "species": ["Y", "Y", "Y", "Y", "Er", "Er", "Er", "Er", "Er", "Er", "Er", "Er", "Er", "Er", "Er", "Er", "In", "In"], "frac_coords": [[0.160, 0.160, 0.000], [0.340, 0.660, 0.500], [0.660, 0.340, 0.500], [0.840, 0.840, 0.000], [0.001, 0.664, 0.500], [0.164, 0.499, 0.000], [0.164, 0.836, 0.000], [0.336, 0.336, 0.500], [0.336, 0.999, 0.500], [0.499, 0.164, 0.000], [0.501, 0.836, 0.000], [0.664, 0.001, 0.500], [0.664, 0.664, 0.500], [0.836, 0.164, 0.000], [0.836, 0.501, 0.000], [0.999, 0.336, 0.500], [0.000, 0.000, 0.500], [0.500, 0.500, 0.000]], "dos_at_fermi_per_ev_atom": 1.550, "vol_a3_per_cell": 539.0, "magmom_total_mub_per_cell": 0.01, "final_energy_ev_per_atom": -4.8571, "density_g_cm3": 8.0, "formation_energy_kj_per_mol_fu": -65}